VASP calculation (GGA-PBE) on a relaxed TlIn2Fe crystal.

Geometry as extended XYZ:
```
4
Lattice="-4.136 -1.530 0.996 1.084 -4.021 -1.676 1.453 -1.294 4.045" Properties=species:S:1:pos:R:3 pbc="T T T"
Fe -1.342 -1.412 2.521
In 0.000 0.000 0.000
In 1.268 -2.658 1.185
Tl -1.526 -2.775 -0.340
```

V   22.8 Å³ per atom
Magnetization   3.03 μB/cell
Energy relative to the elements   45.49 kJ/mol of atoms
Symmetry   P4/mmm (123)